Record 1
# NaYCuTe3

An optimized crystal structure of NaYCuTe3 (GGA-PBE, the Open Quantum Materials Database).

abc: 11.330 4.154 14.741
angles: 90.00 90.00 90.00
Fractional coordinates of all 24 atoms:
1 Na 0.225 0.250 0.009
2 Na 0.275 0.750 0.509
3 Na 0.725 0.250 0.491
4 Na 0.775 0.750 0.991
5 Y 0.019 0.750 0.745
6 Y 0.481 0.250 0.245
7 Y 0.519 0.750 0.755
8 Y 0.981 0.250 0.255
9 Cu 0.236 0.750 0.219
10 Cu 0.264 0.250 0.719
11 Cu 0.736 0.750 0.281
12 Cu 0.764 0.250 0.781
13 Te 0.051 0.750 0.112
14 Te 0.088 0.250 0.604
15 Te 0.234 0.250 0.332
16 Te 0.266 0.750 0.832
17 Te 0.412 0.750 0.104
18 Te 0.449 0.250 0.612
19 Te 0.551 0.750 0.388
20 Te 0.588 0.250 0.896
21 Te 0.734 0.250 0.168
22 Te 0.766 0.750 0.668
23 Te 0.912 0.750 0.396
24 Te 0.949 0.250 0.888

Results
- SG = No. 62
- electronic total energy (eV/f.u.) = -26.01


Record 2
# PmThBi

An optimized crystal structure of PmThBi (GGA-PBE, the Open Quantum Materials Database).

abc: 5.317 5.317 5.317
angles: 60.00 60.00 60.00
Fractional coordinates of all 3 atoms:
1 Pm 0.000 0.000 0.000
2 Th 0.500 0.500 0.500
3 Bi 0.250 0.250 0.250

Results
- SG = No. 216
- electronic total energy (eV/f.u.) = -16.63


Record 3
# Nb4AlPbN2

An optimized crystal structure of Nb4AlPbN2 (GGA-PBE, the Open Quantum Materials Database).

abc: 3.232 3.232 13.767
angles: 90.00 90.00 120.00
Fractional coordinates of all 8 atoms:
1 Nb 0.000 0.000 0.157
2 Nb 0.000 0.000 0.843
3 Nb 0.333 0.667 0.322
4 Nb 0.333 0.667 0.678
5 Al 0.333 0.667 0.000
6 Pb 0.000 0.000 0.500
7 N 0.667 0.333 0.242
8 N 0.667 0.333 0.758

Results
- SG = No. 187
- electronic total energy (eV/f.u.) = -68.41


Record 4
# FeBiW4C2

An optimized crystal structure of FeBiW4C2 (GGA-PBE, the Open Quantum Materials Database).

abc: 3.092 3.092 14.170
angles: 90.00 90.00 120.00
Fractional coordinates of all 8 atoms:
1 Fe 0.000 0.000 0.000
2 Bi 0.333 0.667 0.500
3 W 0.000 0.000 0.304
4 W 0.000 0.000 0.696
5 W 0.333 0.667 0.140
6 W 0.333 0.667 0.860
7 C 0.667 0.333 0.225
8 C 0.667 0.333 0.775

Results
- SG = No. 187
- electronic total energy (eV/f.u.) = -79.43


Record 5
# RbLuOs

An optimized crystal structure of RbLuOs (GGA-PBE, the Open Quantum Materials Database).

abc: 4.775 4.775 4.775
angles: 60.00 60.00 60.00
Fractional coordinates of all 3 atoms:
1 Rb 0.000 0.000 0.000
2 Lu 0.750 0.750 0.750
3 Os 0.250 0.250 0.250

Results
- SG = No. 216
- electronic total energy (eV/f.u.) = -10.18


Record 6
# SrPrAuS3

An optimized crystal structure of SrPrAuS3 (GGA-PBE, the Open Quantum Materials Database).

abc: 11.721 4.198 11.586
angles: 90.00 90.00 90.00
Fractional coordinates of all 24 atoms:
1 Sr 0.184 0.250 0.012
2 Sr 0.316 0.750 0.512
3 Sr 0.684 0.250 0.488
4 Sr 0.816 0.750 0.988
5 Pr 0.011 0.250 0.324
6 Pr 0.489 0.750 0.824
7 Pr 0.511 0.250 0.176
8 Pr 0.989 0.750 0.676
9 Au 0.219 0.750 0.249
10 Au 0.281 0.250 0.749
11 Au 0.719 0.750 0.251
12 Au 0.781 0.250 0.751
13 S 0.037 0.750 0.143
14 S 0.113 0.250 0.557
15 S 0.201 0.750 0.819
16 S 0.299 0.250 0.319
17 S 0.387 0.750 0.057
18 S 0.463 0.250 0.643
19 S 0.537 0.750 0.357
20 S 0.613 0.250 0.943
21 S 0.701 0.750 0.681
22 S 0.799 0.250 0.181
23 S 0.887 0.750 0.443
24 S 0.963 0.250 0.857

Results
- SG = No. 62
- electronic total energy (eV/f.u.) = -31.21


no.,theoretical density (g/cm³)
1,5.34
2,9.15
3,8.45
4,14.49
5,9.72
6,6.08